No. 1
DFT (GGA-PBE) results for Pr5Cd3Pt12 after structural relaxation.

## Properties
total magnetic moment = 0.0000 μB/atom
ΔE_f = -0.158 eV/atom
D(E_F) = 0.535 states/eV/atom

CIF file:
```
data_Pr5Cd3Pt12
_cell_length_a 16.176
_cell_length_b 16.176
_cell_length_c 16.176
_cell_angle_alpha 90.00
_cell_angle_beta 90.00
_cell_angle_gamma 90.00
_symmetry_space_group_name_H-M 'I a -3 d'
_symmetry_Int_Tables_number 230
_symmetry_space_group_name_Hall '-I 4bd 2c 3'
loop_
_atom_site_label
_atom_site_type_symbol
_atom_site_fract_x
_atom_site_fract_y
_atom_site_fract_z
Pr1 Pr 0.000 0.000 0.000
Pr2 Pr 0.000 0.250 0.375
Cd1 Cd 0.000 0.250 0.125
Pt1 Pt 0.001 0.081 0.654
```

No. 2
DFT (GGA-PBE) results for CsIn2Cl after structural relaxation.

## Properties
raw formation energy = -0.35 eV per formula unit
total magnetic moment = 0.0001 μB/atom
D(E_F) = 1.456 states/eV/atom
E above lowest polymorph = 0.5244 eV per atom

CIF file:
```
data_CsIn2Cl
_cell_length_a 8.417
_cell_length_b 8.417
_cell_length_c 8.417
_cell_angle_alpha 90.00
_cell_angle_beta 90.00
_cell_angle_gamma 90.00
_symmetry_space_group_name_H-M 'F m -3 m'
_symmetry_Int_Tables_number 225
_symmetry_space_group_name_Hall '-F 4 2 3'
loop_
_atom_site_label
_atom_site_type_symbol
_atom_site_fract_x
_atom_site_fract_y
_atom_site_fract_z
Cs1 Cs 0.000 0.000 0.000
In1 In 0.250 0.250 0.250
Cl1 Cl 0.000 0.000 0.500
```

No. 3
DFT (GGA-PBE) results for K2NaZnHg after structural relaxation.

## Properties
total magnetic moment = 0.0000 μB/atom
ΔE_f = 0.047 eV/atom
D(E_F) = 0.528 states/eV/atom
E above lowest polymorph = 0.0000 eV per atom

CIF file:
```
data_K2NaZnHg
_cell_length_a 6.643
_cell_length_b 6.643
_cell_length_c 5.054
_cell_angle_alpha 90.00
_cell_angle_beta 90.00
_cell_angle_gamma 90.00
_symmetry_space_group_name_H-M 'P 4/m m m'
_symmetry_Int_Tables_number 123
_symmetry_space_group_name_Hall '-P 4 2'
loop_
_atom_site_label
_atom_site_type_symbol
_atom_site_fract_x
_atom_site_fract_y
_atom_site_fract_z
K1 K 0.000 0.500 0.000
Na1 Na 0.000 0.000 0.500
Zn1 Zn 0.500 0.500 0.000
Hg1 Hg 0.500 0.500 0.500
```

No. 4
DFT (GGA-PBE) results for TbPrHo3 after structural relaxation.

## Properties
total magnetic moment = 0.0000 μB/atom
ΔE_f = 0.015 eV/atom
D(E_F) = 1.605 states/eV/atom
E above lowest polymorph = 0.0000 eV per atom

CIF file:
```
data_TbPrHo3
_cell_length_a 6.305
_cell_length_b 5.686
_cell_length_c 9.621
_cell_angle_alpha 90.00
_cell_angle_beta 109.04
_cell_angle_gamma 90.00
_symmetry_space_group_name_H-M 'P 1 21/m 1'
_symmetry_Int_Tables_number 11
loop_
_symmetry_equiv_pos_as_xyz
'x,y,z'
'-x,-y,-z'
'-x,y+1/2,-z'
'x,-y+1/2,z'
loop_
_atom_site_label
_atom_site_type_symbol
_atom_site_fract_x
_atom_site_fract_y
_atom_site_fract_z
Tb1 Tb 0.034 0.250 0.401
Pr1 Pr 0.431 0.250 0.200
Ho1 Ho 0.163 0.750 0.999
Ho2 Ho 0.233 0.250 0.799
Ho3 Ho 0.365 0.750 0.402
```

No. 5
DFT (GGA-PBE) results for PmPaAl after structural relaxation.

## Properties
total magnetic moment = 0.0007 μB/atom
ΔE_f = 0.167 eV/atom
D(E_F) = 1.387 states/eV/atom
E above lowest polymorph = 0.2468 eV per atom

CIF file:
```
data_PmPaAl
_cell_length_a 5.1860
_cell_length_b 5.1860
_cell_length_c 3.0546
_cell_angle_alpha 90.00
_cell_angle_beta 90.00
_cell_angle_gamma 120.00
_symmetry_space_group_name_H-M 'P -6 m 2'
_symmetry_Int_Tables_number 187
_symmetry_space_group_name_Hall 'P -6 2'
loop_
_atom_site_label
_atom_site_type_symbol
_atom_site_fract_x
_atom_site_fract_y
_atom_site_fract_z
Pm1 Pm 0.0000 0.0000 0.0000
Pa1 Pa 0.3333 0.6667 0.0000
Al1 Al 0.6667 0.3333 0.5000
```

No. 6
DFT (GGA-PBE) results for Ba2CaPaO6 after structural relaxation.

## Properties
raw formation energy = -29.59 eV per formula unit
total magnetic moment = 0.0934 μB/atom
D(E_F) = 0.805 states/eV/atom

CIF file:
```
data_Ba2CaPaO6
_cell_length_a 8.861
_cell_length_b 8.861
_cell_length_c 8.861
_cell_angle_alpha 90.00
_cell_angle_beta 90.00
_cell_angle_gamma 90.00
_symmetry_space_group_name_H-M 'F m -3 m'
_symmetry_Int_Tables_number 225
_symmetry_space_group_name_Hall '-F 4 2 3'
loop_
_atom_site_label
_atom_site_type_symbol
_atom_site_fract_x
_atom_site_fract_y
_atom_site_fract_z
Ba1 Ba 0.250 0.250 0.250
Ca1 Ca 0.000 0.000 0.000
Pa1 Pa 0.000 0.000 0.500
O1 O 0.000 0.000 0.258
```

No. 7
DFT (GGA-PBE) results for Sc2VBTe after structural relaxation.

## Properties
raw formation energy = 6.66 eV per formula unit
total magnetic moment = 0.0720 μB/atom
D(E_F) = 1.498 states/eV/atom

CIF file:
```
data_Sc2VBTe
_cell_length_a 5.330
_cell_length_b 5.330
_cell_length_c 4.283
_cell_angle_alpha 90.00
_cell_angle_beta 90.00
_cell_angle_gamma 90.00
_symmetry_space_group_name_H-M 'P 4/m m m'
_symmetry_Int_Tables_number 123
_symmetry_space_group_name_Hall '-P 4 2'
loop_
_atom_site_label
_atom_site_type_symbol
_atom_site_fract_x
_atom_site_fract_y
_atom_site_fract_z
Sc1 Sc 0.000 0.500 0.000
V1 V 0.000 0.000 0.500
B1 B 0.500 0.500 0.500
Te1 Te 0.500 0.500 0.000
```

No. 8
DFT (GGA-PBE) results for Li2PmNdTl4 after structural relaxation.

## Properties
total magnetic moment = 0.0000 μB/atom
ΔE_f = -0.338 eV/atom
D(E_F) = 0.183 states/eV/atom

CIF file:
```
data_Li2PmNdTl4
_cell_length_a 5.2830
_cell_length_b 5.2830
_cell_length_c 25.7615
_cell_angle_alpha 90.00
_cell_angle_beta 90.00
_cell_angle_gamma 120.00
_symmetry_space_group_name_H-M 'R -3 m'
_symmetry_Int_Tables_number 166
_symmetry_space_group_name_Hall '-R 3 2"'
loop_
_atom_site_label
_atom_site_type_symbol
_atom_site_fract_x
_atom_site_fract_y
_atom_site_fract_z
Li1 Li 0.0000 0.0000 0.2501
Pm1 Pm 0.0000 0.0000 0.0000
Nd1 Nd 0.0000 0.0000 0.5000
Tl1 Tl 0.0000 0.0000 0.1250
Tl2 Tl 0.0000 0.0000 0.3741
```